YZrNp2P4 | the Alexandria database | PBE | relaxed; energy of formation from the pure elements = -1.195 eV/atom; DOS at the Fermi energy = 16.35 states/eV/f.u.; calculated total energy = -9.0119 eV/atom
1.0
-2.670 0.172 2.855
-4.903 -1.341 -4.504
2.356 -5.789 2.551
Y Zr Np P
1 1 2 4
Direct
0.500 0.500 0.000 Y
0.000 0.000 0.000 Zr
0.500 0.000 0.500 Np
0.000 0.500 0.500 Np
0.500 0.240 0.245 P
0.500 0.760 0.755 P
0.000 0.241 0.750 P
0.000 0.759 0.250 P

Np4ZnP5 | the Alexandria database | PBE | relaxed; energy of formation from the pure elements = -0.650 eV/atom; DOS at the Fermi energy = 28.83 states/eV/f.u.; calculated total energy = -8.6582 eV/atom
1.0
3.980 0.000 0.488
1.960 3.464 0.488
0.164 0.096 15.137
Np Zn P
4 1 5
Direct
0.893 0.893 0.320 Np
0.298 0.298 0.106 Np
0.702 0.702 0.894 Np
0.107 0.107 0.680 Np
0.500 0.500 0.500 Zn
0.404 0.404 0.787 P
0.000 0.000 0.000 P
0.596 0.596 0.213 P
0.804 0.804 0.587 P
0.196 0.196 0.413 P

ZrNpP2 | the Alexandria database | PBE | relaxed; energy above the most stable polymorph in this dataset = 0.1175 eV/atom; energy of formation from the pure elements = -1.048 eV/atom; DOS at the Fermi energy = 5.43 states/eV/f.u.; calculated total energy = -9.1252 eV/atom
1.0
3.697 0.000 0.000
1.848 3.202 0.000
1.848 1.067 6.838
Zr Np P
1 1 2
Direct
0.670 0.670 0.991 Zr
0.496 0.496 0.511 Np
0.078 0.078 0.766 P
0.256 0.256 0.232 P

ZrNp5P6 | the Alexandria database | PBE | relaxed; energy of formation from the pure elements = -0.940 eV/atom; DOS at the Fermi energy = 44.79 states/eV/f.u.; calculated total energy = -9.7490 eV/atom
1.0
-5.037 -2.674 -3.652
5.794 -3.416 0.785
-2.598 -0.740 6.220
Np P Zr
5 6 1
Direct
0.832 0.168 0.500 Np
0.666 0.334 0.000 Np
0.500 0.500 0.500 Np
0.334 0.666 0.000 Np
0.168 0.832 0.500 Np
0.408 0.081 0.245 P
0.919 0.592 0.755 P
0.244 0.244 0.752 P
0.756 0.756 0.248 P
0.081 0.408 0.245 P
0.592 0.919 0.755 P
0.000 0.000 0.000 Zr

Zr2NpP4 | the Alexandria database | PBE | relaxed; energy of formation from the pure elements = -0.914 eV/atom; DOS at the Fermi energy = 9.07 states/eV/f.u.; calculated total energy = -8.2965 eV/atom
1.0
3.778 0.000 0.000
-1.889 6.158 0.000
0.000 0.000 12.004
Zr Np P
4 2 8
Direct
0.136 0.272 0.445 Zr
0.864 0.728 0.945 Zr
0.136 0.272 0.055 Zr
0.864 0.728 0.555 Zr
0.606 0.211 0.750 Np
0.394 0.789 0.250 Np
0.765 0.530 0.139 P
0.765 0.530 0.361 P
0.235 0.470 0.861 P
0.235 0.470 0.639 P
0.949 0.898 0.750 P
0.051 0.102 0.250 P
0.500 0.000 0.000 P
0.500 0.000 0.500 P

Zr4NpP5 | the Alexandria database | PBE | relaxed; energy of formation from the pure elements = -1.282 eV/atom; DOS at the Fermi energy = 7.39 states/eV/f.u.; calculated total energy = -8.7002 eV/atom
1.0
-3.059 2.169 -0.365
-2.059 -2.159 4.425
6.719 6.744 3.199
Zr Np P
4 1 5
Direct
0.397 0.397 0.794 Zr
0.800 0.800 0.599 Zr
0.200 0.200 0.401 Zr
0.603 0.603 0.206 Zr
0.000 0.000 0.000 Np
0.603 0.103 0.205 P
0.799 0.299 0.598 P
0.201 0.701 0.402 P
0.000 0.500 0.000 P
0.397 0.897 0.795 P

Q: Which formula does entry 2 have?
A: Np4ZnP5